Computed, not measured: an optimized crystal structure of DyEr3Bi3 at the PBE level of DFT.

**DFT formation energy**: -685 meV/atom
**M_tot**: 0.00 μB per formula unit
**V**: 29.011 Å³ per atom
**Calculated density**: 10.56 g/cm³

abc: 9.331 9.331 9.331
angles: 90.00 90.00 90.00
Space group P2_13 (No. 198)
Inequivalent atoms, fractional coordinates:
1 Dy 0.073 0.427 0.573
2 Er 0.075 0.575 0.925
3 Er 0.176 0.824 0.324
4 Er 0.177 0.177 0.177
5 Bi 0.001 0.252 0.876